Entry from the Alexandria database: a geometry-optimized Ni7Os structure (PBEsol).

Cell and atoms, written as POSCAR:
```
Ni7Os
1.0
-0.281 4.773 1.378
-3.135 3.082 -2.332
-4.052 1.676 2.353
Os Ni
1 7
Direct
0.000 0.000 0.000
0.000 0.000 0.500
0.500 0.000 0.000
0.000 0.500 0.000
0.000 0.500 0.500
0.500 0.000 0.500
0.500 0.500 0.500
0.500 0.500 0.000
```

**Crystal system**: cubic
**Total magnetic moment**: 3.37 Bohr magnetons per cell
**E_tot**: -6.83 eV per atom
**Space-group type**: Fm-3m
**Volume**: 87 Å³ per cell
**ΔH_f (0 K)**: 0.7 eV/f.u.